DFT (PBE) results for ZrNiSb after structural relaxation.

a = 6.774 Å, b = 4.188 Å, c = 7.666 Å
α = 90.00°, β = 90.00°, γ = 90.00°
Element x y z (fractional)
Zr1 0.001 0.250 0.194
Zr2 0.499 0.750 0.694
Zr3 0.501 0.250 0.306
Zr4 0.999 0.750 0.806
Ni1 0.182 0.250 0.587
Ni2 0.318 0.750 0.087
Ni3 0.682 0.250 0.913
Ni4 0.818 0.750 0.413
Sb1 0.207 0.750 0.407
Sb2 0.293 0.250 0.907
Sb3 0.707 0.750 0.093
Sb4 0.793 0.250 0.593

=====

DFT (PBE) results for Sc7Ni3 after structural relaxation.

Values from the calculation:
Calculated formation energy, eV per atom: -0.291

a = 8.989 Å, b = 8.989 Å, c = 5.736 Å
α = 90.00°, β = 90.00°, γ = 120.00°
Element x y z (fractional)
Sc1 0.079 0.540 0.000
Sc2 0.126 0.252 0.305
Sc3 0.126 0.874 0.305
Sc4 0.252 0.126 0.805
Sc5 0.333 0.667 0.500
Sc6 0.460 0.540 0.000
Sc7 0.460 0.921 0.000
Sc8 0.540 0.079 0.500
Sc9 0.540 0.460 0.500
Sc10 0.667 0.333 0.000
Sc11 0.748 0.874 0.305
Sc12 0.874 0.126 0.805
Sc13 0.874 0.748 0.805
Sc14 0.921 0.460 0.500
Ni1 0.191 0.381 0.735
Ni2 0.191 0.809 0.735
Ni3 0.381 0.191 0.235
Ni4 0.619 0.809 0.735
Ni5 0.809 0.191 0.235
Ni6 0.809 0.619 0.235

=====

DFT (PBE) results for ScNi5 after structural relaxation.

Values from the calculation:
Calculated formation energy, eV per atom: -0.098

a = 3.039 Å, b = 3.039 Å, c = 8.085 Å
α = 90.00°, β = 90.00°, γ = 90.00°
Element x y z (fractional)
Sc1 0.000 0.000 0.000
Ni1 0.000 0.000 0.346
Ni2 0.000 0.000 0.654
Ni3 0.500 0.500 0.195
Ni4 0.500 0.500 0.500
Ni5 0.500 0.500 0.805

=====

DFT (PBE) results for ScNi6 after structural relaxation.

Values from the calculation:
Distance to the lowest polymorph of the same formula, meV/atom: 1315
Calculated formation energy, eV per atom: 1.117

a = 5.299 Å, b = 5.299 Å, c = 5.299 Å
α = 90.00°, β = 90.00°, γ = 90.00°
Element x y z (fractional)
Sc1 0.000 0.000 0.000
Ni1 0.197 0.500 0.500
Ni2 0.500 0.197 0.500
Ni3 0.500 0.500 0.197
Ni4 0.500 0.500 0.803
Ni5 0.500 0.803 0.500
Ni6 0.803 0.500 0.500

=====

For the records above, the corresponding VASP energy values read -81.5 -129.1 -35.8 -33.2 eV/cell.